Entry 1:
VASP calculation (SCAN) on AlTcAu2 at its PBEsol-relaxed geometry.

Cell lengths 4.1137, 2.7895, 10.8554 Å; angles 90.00, 90.00, 90.00 degrees
Space group Amm2 (No. 38)
One atom of each set of equivalent atoms:
Al 0.0000 0.0000 0.0000 [2 per cell]
Tc 0.5000 0.0000 0.5906 [2 per cell]
Au 0.0000 0.0000 0.2327 [2 per cell]
Au 0.5000 0.0000 0.8587 [2 per cell]

Final energy ... -363.1 eV for the cell shown
Formation energy from the elements ... -0.1089 eV/atom
Calculated volume ... 15.57 A^3/atom
Fermi-level density of states ... 0.524 states/eV per atom
Total moment ... 0.0 Bohr magnetons per cell

---

Entry 2:
VASP calculation (SCAN) on BeSeBr2O at its PBEsol-relaxed geometry.

Cell lengths 4.7389, 4.7389, 4.1625 Å; angles 90.00, 90.00, 90.00 degrees
Space group P4/mmm (No. 123)
One atom of each set of equivalent atoms:
Be 0.0000 0.0000 0.0000 [1 per cell]
Se 0.5000 0.5000 0.0000 [1 per cell]
Br 0.0000 0.5000 0.5000 [2 per cell]
O 0.5000 0.5000 0.5000 [1 per cell]

Final energy ... -65.2 eV for the cell shown
Calculated volume ... 18.70 A^3/atom
Fermi-level density of states ... 0.474 states/eV per atom
Total moment ... 0.0 Bohr magnetons per cell
Uncorrected formation energy ... 84.2 kJ/mol of atoms

---

Entry 3:
VASP calculation (SCAN) on BaCaAg at its PBEsol-relaxed geometry.

Cell lengths 3.8768, 3.8768, 13.7615 Å; angles 90.00, 90.00, 90.00 degrees
Space group I4mm (No. 107)
One atom of each set of equivalent atoms:
Ba 0.0000 0.0000 0.0000 [2 per cell]
Ca 0.0000 0.0000 0.7341 [2 per cell]
Ag 0.0000 0.0000 0.3461 [2 per cell]

Final energy ... -162.2 eV for the cell shown
Formation energy from the elements ... -0.1777 eV/atom
Calculated volume ... 34.47 A^3/atom
Fermi-level density of states ... 0.886 states/eV per atom
Total moment ... 0.0 Bohr magnetons per cell

---

Entry 4:
VASP calculation (SCAN) on CuMoC3 at its PBEsol-relaxed geometry.

Cell lengths 3.6793, 3.6793, 3.6793 Å; angles 90.00, 90.00, 90.00 degrees
Space group Pm-3m (No. 221)
One atom of each set of equivalent atoms:
Cu 0.0000 0.0000 0.0000 [1 per cell]
Mo 0.5000 0.5000 0.5000 [1 per cell]
C 0.0000 0.0000 0.5000 [3 per cell]

Final energy ... -67.2 eV for the cell shown
Formation energy from the elements ... 2.6389 eV/atom
Calculated volume ... 9.96 A^3/atom
Fermi-level density of states ... 0.687 states/eV per atom
Total moment ... 1.3 Bohr magnetons per cell

---

Entry 5:
VASP calculation (SCAN) on BaCa2Mg at its PBEsol-relaxed geometry.

Cell lengths 4.2117, 4.2117, 8.9783 Å; angles 90.00, 90.00, 90.00 degrees
Space group P4mm (No. 99)
One atom of each set of equivalent atoms:
Ba 0.0000 0.0000 0.0000 [1 per cell]
Ca 0.0000 0.0000 0.5688 [1 per cell]
Ca 0.5000 0.5000 0.3149 [1 per cell]
Mg 0.5000 0.5000 0.7516 [1 per cell]

Final energy ... -63.9 eV for the cell shown
Formation energy from the elements ... -0.0148 eV/atom
Calculated volume ... 39.82 A^3/atom
Fermi-level density of states ... 0.819 states/eV per atom
Total moment ... 0.1 Bohr magnetons per cell

---

Entry 6:
VASP calculation (SCAN) on LiFe3Br at its PBEsol-relaxed geometry.

Cell lengths 4.1622, 4.1622, 4.1622 Å; angles 90.00, 90.00, 90.00 degrees
Space group Pm-3m (No. 221)
One atom of each set of equivalent atoms:
Li 0.0000 0.0000 0.0000 [1 per cell]
Fe 0.0000 0.0000 0.5000 [3 per cell]
Br 0.5000 0.5000 0.5000 [1 per cell]

Final energy ... -70.2 eV for the cell shown
Calculated volume ... 14.42 A^3/atom
Fermi-level density of states ... 0.793 states/eV per atom
Total moment ... 8.5 Bohr magnetons per cell
Uncorrected formation energy ... 116.6 kJ/mol of atoms

---

Entry 7:
VASP calculation (SCAN) on Ba3TiS5 at its PBEsol-relaxed geometry.

Cell lengths 8.3698, 8.3698, 13.7623 Å; angles 90.00, 90.00, 90.00 degrees
Space group I4/mcm (No. 140)
One atom of each set of equivalent atoms:
Ba 0.0000 0.0000 0.2500 [4 per cell]
Ba 0.1602 0.3398 0.0000 [8 per cell]
Ti 0.0000 0.5000 0.2500 [4 per cell]
S 0.0000 0.0000 0.0000 [4 per cell]
S 0.1501 0.3499 0.3480 [16 per cell]

Final energy ... -808.7 eV for the cell shown
Calculated volume ... 26.78 A^3/atom
Fermi-level density of states ... 0.000 states/eV per atom
Total moment ... 0.0 Bohr magnetons per cell
Uncorrected formation energy ... -207.4 kJ/mol of atoms

---

Entry 8:
VASP calculation (SCAN) on CrInNi2 at its PBEsol-relaxed geometry.

Cell lengths 3.0692, 3.0692, 5.6497 Å; angles 90.00, 90.00, 90.00 degrees
Space group P4mm (No. 99)
One atom of each set of equivalent atoms:
Cr 0.0000 0.0000 0.0000 [1 per cell]
In 0.5000 0.5000 0.3206 [1 per cell]
Ni 0.0000 0.0000 0.5803 [1 per cell]
Ni 0.5000 0.5000 0.8140 [1 per cell]

Final energy ... -83.7 eV for the cell shown
Formation energy from the elements ... 0.0971 eV/atom
Calculated volume ... 13.31 A^3/atom
Fermi-level density of states ... 0.348 states/eV per atom
Total moment ... 2.8 Bohr magnetons per cell